No. 1
! Pm2ErMg2 | Alexandria | PBE | relaxed; values from VASP
&SYSTEM
  ibrav = 0, nat = 10, ntyp = 3
/
ATOMIC_SPECIES
Pm 145.00 Pm.upf
Er 167.26 Er.upf
Mg 24.30 Mg.upf
CELL_PARAMETERS angstrom
-0.431 -0.450 -3.760
5.400 0.333 -0.660
1.266 -13.717 3.436
ATOMIC_POSITIONS crystal
Pm 0.764 0.250 0.526
Pm 0.045 0.750 0.090
Pm 0.236 0.750 0.474
Pm 0.955 0.250 0.910
Er 0.150 0.250 0.300
Er 0.850 0.750 0.700
Mg 0.555 0.250 0.110
Mg 0.445 0.750 0.890
Mg 0.639 0.750 0.280
Mg 0.361 0.250 0.720
! Formation energy from the elements in eV/atom: -0.0640
! Crystal system: orthorhombic
! ΔE to the lowest computed polymorph in kJ per mole of atoms: 0.0
! N(E_F) in states/eV/cell: 10.83

No. 2
! PmErMg5 | Alexandria | PBE | relaxed; values from VASP
&SYSTEM
  ibrav = 0, nat = 7, ntyp = 3
/
ATOMIC_SPECIES
Mg 24.30 Mg.upf
Pm 145.00 Pm.upf
Er 167.26 Er.upf
CELL_PARAMETERS angstrom
0.752 5.097 -0.968
-3.960 0.872 3.323
4.692 0.353 5.499
ATOMIC_POSITIONS crystal
Mg 0.500 0.000 0.753
Mg 0.000 0.500 0.753
Mg 0.000 0.000 0.500
Mg 0.500 0.000 0.247
Mg 0.000 0.500 0.247
Pm 0.000 0.000 0.000
Er 0.500 0.500 0.500
! Formation energy from the elements in eV/atom: 0.1875
! Crystal system: orthorhombic
! N(E_F) in states/eV/cell: 6.20

No. 3
! Pm3ErMg2 | Alexandria | PBE | relaxed; values from VASP
&SYSTEM
  ibrav = 0, nat = 6, ntyp = 3
/
ATOMIC_SPECIES
Mg 24.30 Mg.upf
Pm 145.00 Pm.upf
Er 167.26 Er.upf
CELL_PARAMETERS angstrom
-1.225 -1.898 -3.030
0.083 -3.217 1.982
-11.977 1.929 3.634
ATOMIC_POSITIONS crystal
Mg 0.500 0.500 0.155
Mg 0.500 0.500 0.845
Pm 0.000 0.000 0.000
Pm 0.000 0.000 0.689
Pm 0.000 0.000 0.311
Er 0.500 0.500 0.500
! Formation energy from the elements in eV/atom: -0.0517
! Crystal system: tetragonal
! N(E_F) in states/eV/cell: 6.90

No. 4
! PmEr3Mg6 | Alexandria | PBE | relaxed; values from VASP
&SYSTEM
  ibrav = 0, nat = 20, ntyp = 3
/
ATOMIC_SPECIES
Er 167.26 Er.upf
Mg 24.30 Mg.upf
Pm 145.00 Pm.upf
CELL_PARAMETERS angstrom
-4.667 -0.868 -2.307
-2.486 -5.406 7.061
-3.295 10.411 2.749
ATOMIC_POSITIONS crystal
Er 0.250 0.544 0.397
Er 0.750 0.648 0.201
Er 0.250 0.749 0.003
Er 0.750 0.251 0.997
Er 0.750 0.456 0.603
Er 0.250 0.352 0.799
Mg 0.250 0.250 0.495
Mg 0.750 0.950 0.095
Mg 0.750 0.853 0.804
Mg 0.750 0.346 0.294
Mg 0.750 0.556 0.899
Mg 0.250 0.444 0.101
Mg 0.250 0.654 0.706
Mg 0.250 0.147 0.196
Mg 0.750 0.148 0.703
Mg 0.250 0.852 0.297
Mg 0.250 0.050 0.905
Mg 0.750 0.750 0.505
Pm 0.750 0.054 0.396
Pm 0.250 0.946 0.604
! Formation energy from the elements in eV/atom: -0.0617
! Crystal system: monoclinic
! N(E_F) in states/eV/cell: 19.10

Which density belongs to each record? In order, 5.75, 3.63, 5.98, 4.99 Mg/m³.
Which energy belongs to each record? In order, -35.146, -15.974, -22.314, -57.248 eV for the cell shown.